! Sm3Er2Tl3 PBE-GGA optimized geometry; values from VASP
! Total magnetic moment (μB per formula unit): 0.57
! Formation enthalpy at 0 K (meV per atom): -262
! Crystal system: orthorhombic
! Space group: Immm (71)
&SYSTEM
  ibrav = 0, nat = 8, ntyp = 3
/
ATOMIC_SPECIES
Sm 150.36 Sm.upf
Er 167.26 Er.upf
Tl 204.38 Tl.upf
ATOMIC_POSITIONS angstrom
Sm 0.000 0.000 0.000
Sm 2.201 0.000 7.997
Sm 0.000 2.517 2.528
Er 0.000 0.000 4.995
Er 0.000 0.000 16.056
Tl 2.201 0.000 2.730
Tl 0.000 0.000 10.525
Tl 0.000 2.517 7.795
CELL_PARAMETERS angstrom
-2.201 2.517 10.525
2.201 -2.517 10.525
2.201 2.517 -10.525